[1]
This record from Alexandria via LeMat-Bulk describes a crystal of InB2I2 relaxed with PBEsol. The functional is SCAN.

Calculated values
Energy relative to the elements, uncorrected = 1016 meV per atom
Energy = -23.330 eV/atom
Total magnetic moment = 0.000 μB/cell

Cell: 6.3149 6.3149 6.0286 Å, 90.00 90.00 90.00°
Closest atoms and distances in Å follow each position.
Atoms (fractional coordinates):
In: 0.0000 0.0000 0.0000  2 B 2.21
In: 0.5000 0.5000 0.5000  2 B 2.21
B: 0.0000 0.0000 0.3663  1 B 1.61
B: 0.0000 0.0000 0.6337  1 B 1.61
B: 0.5000 0.5000 0.1337  1 B 1.61
B: 0.5000 0.5000 0.8663  1 B 1.61
I: 0.0000 0.5000 0.2500  2 I 3.01, 4 B 3.23
I: 0.0000 0.5000 0.7500  2 I 3.01, 4 B 3.23
I: 0.5000 0.0000 0.2500  2 I 3.01, 4 B 3.23
I: 0.5000 0.0000 0.7500  2 I 3.01, 4 B 3.23

---

[2]
This record from Alexandria via LeMat-Bulk describes a crystal of Nb2InBI relaxed with PBEsol. The functional is SCAN.

Calculated values
Energy relative to the elements, uncorrected = 1949 meV per atom
Energy = -26.814 eV/atom
Total magnetic moment = 0.007 μB/cell

Cell: 5.0826 5.0826 4.3179 Å, 90.00 90.00 90.00°
Closest atoms and distances in Å follow each position.
Atoms (fractional coordinates):
Nb: 0.0000 0.5000 0.0000  2 I 2.54
Nb: 0.5000 0.0000 0.0000  2 I 2.54
In: 0.0000 0.0000 0.5000  8 Nb 3.33, 4 B 3.59
B: 0.5000 0.5000 0.5000  2 I 2.16
I: 0.5000 0.5000 0.0000  2 B 2.16

---

[3]
This record from Alexandria via LeMat-Bulk describes a crystal of InBTe2I relaxed with PBEsol. The functional is SCAN.

Calculated values
Energy relative to the elements, uncorrected = 575 meV per atom
Energy = -29.837 eV/atom
Total magnetic moment = 0.000 μB/cell

Cell: 4.9307 4.9307 5.0965 Å, 90.00 90.00 90.00°
Closest atoms and distances in Å follow each position.
Atoms (fractional coordinates):
In: 0.0000 0.0000 0.0000  4 I 3.49, 8 Te 3.55
B: 0.5000 0.5000 0.5000  4 Te 2.47, 2 I 2.55
Te: 0.0000 0.5000 0.5000  2 B 2.47
Te: 0.5000 0.0000 0.5000  2 B 2.47
I: 0.5000 0.5000 0.0000  2 B 2.55

---

Q: Which of these has the lowest energy relative to the elements, uncorrected?
A: InBTe2I

---

What did the second record say?
This record from Alexandria via LeMat-Bulk describes a crystal of Nb2InBI relaxed with PBEsol. The functional is SCAN.

Calculated values
Energy relative to the elements, uncorrected = 1949 meV per atom
Energy = -26.814 eV/atom
Total magnetic moment = 0.007 μB/cell

Cell: 5.0826 5.0826 4.3179 Å, 90.00 90.00 90.00°
Closest atoms and distances in Å follow each position.
Atoms (fractional coordinates):
Nb: 0.0000 0.5000 0.0000  2 I 2.54
Nb: 0.5000 0.0000 0.0000  2 I 2.54
In: 0.0000 0.0000 0.5000  8 Nb 3.33, 4 B 3.59
B: 0.5000 0.5000 0.5000  2 I 2.16
I: 0.5000 0.5000 0.0000  2 B 2.16